(1)
Material: SiMoW
Method: DFT, GGA-PBE
State: optimized geometry

The space group is Pnma (No. 62) and the conventional cell measures 6.0783, 3.9198 and 7.6791 Å, with angles of 90.00, 90.00 and 90.00 degrees. The inequivalent atoms are Si at (0.2316, 0.2500, 0.1413), Mo at (0.0301, 0.2500, 0.8180) and W at (0.1357, 0.2500, 0.4587).

The energy relative to the lowest polymorph listed for this composition comes out at 0.00 eV per formula unit. Its final energy is -9.816 eV per atom. The calculated volume comes out at 183 Å³/cell.

***

(2)
Material: ScCuOs
Method: DFT, GGA-PBE
State: optimized geometry

The space group is P4/nmm (No. 129, origin choice 2) and the conventional cell measures 3.1811, 3.1811 and 9.0785 Å, with angles of 90.00, 90.00 and 90.00 degrees. The inequivalent atoms are Sc at (0.2500, 0.2500, 0.2348), Cu at (0.2500, 0.2500, 0.9356) and Os at (0.2500, 0.2500, 0.5822).

The energy relative to the lowest polymorph listed for this composition comes out at 0.00 eV per formula unit. Its final energy is -7.170 eV per atom. The calculated volume comes out at 92 Å³/cell. For the formation energy, the calculation gives -1.8 kcal/mol of atoms.

***

(3)
Material: NdCuSn2Au
Method: DFT, GGA-PBE
State: optimized geometry

The space group is P4/nmm (No. 129, origin choice 2) and the conventional cell measures 4.6156, 4.6156 and 10.6928 Å, with angles of 90.00, 90.00 and 90.00 degrees. The inequivalent atoms are Nd at (0.2500, 0.2500, 0.2481), Cu at (0.2500, 0.2500, 0.6237), Sn at (0.2500, 0.2500, 0.8579), Sn at (0.2500, 0.7500, 0.5000) and Au at (0.2500, 0.7500, 0.0000).

Its final energy is -4.432 eV per atom. The calculated volume comes out at 228 Å³/cell.

***

(4)
Material: Mo
Method: DFT, GGA-PBE
State: optimized geometry

The space group is I4/mmm (No. 139) and the conventional cell measures 2.6418, 2.6418 and 4.6234 Å, with angles of 90.00, 90.00 and 90.00 degrees. The inequivalent atoms are Mo at (0.0000, 0.0000, 0.0000).

The energy relative to the lowest polymorph listed for this composition comes out at 0.33 eV per formula unit. Its final energy is -10.518 eV per atom. The calculated volume comes out at 32 Å³/cell. For the formation energy, the calculation gives 7.6 kcal/mol of atoms.